[1]
This record from the Alexandria database describes crystalline KCrI2F at its relaxed geometry. The functional is PBE+U.

```
5
Lattice="-1.838 -5.048 -2.731 4.167 -3.145 3.009 -2.671 -0.657 3.012" Properties=species:S:1:pos:R:3 pbc="T T T"
Cr 0.000 0.000 0.000
I -0.919 -2.524 -1.365
I 2.084 -1.573 1.505
K -0.171 -4.425 1.645
F -1.336 -0.329 1.506
```

Results
Its total energy is -4.170 eV per atom. For the volume, the calculation gives 29.6 Å³ per atom.

[2]
This record from the Alexandria database describes crystalline CrMo2IF at its relaxed geometry. The functional is PBE+U.

```
5
Lattice="-3.498 2.043 3.966 -3.056 -0.530 -2.422 -0.723 -5.232 2.057" Properties=species:S:1:pos:R:3 pbc="T T T"
F -1.528 -0.265 -1.211
Mo -0.362 -2.616 1.029
Mo -1.749 1.021 1.983
Cr 0.000 0.000 0.000
I -3.639 -1.860 1.800
```

Results
Its total energy is -4.251 eV per atom. For the volume, the calculation gives 25.3 Å³ per atom.

[3]
This record from the Alexandria database describes crystalline CrI2NF at its relaxed geometry. The functional is PBE+U.

```
5
Lattice="-1.489 -3.782 3.890 5.406 -0.692 1.396 -0.306 2.727 2.534" Properties=species:S:1:pos:R:3 pbc="T T T"
N -0.153 1.363 1.267
Cr 1.806 -0.874 3.910
F 0.000 0.000 0.000
I 2.703 -0.346 0.698
I -0.744 -1.891 1.945
```

Results
Its total energy is -2.483 eV per atom. For the volume, the calculation gives 23.6 Å³ per atom. Its offset from the most stable computed form is 1211 meV per atom.

[4]
This record from the Alexandria database describes crystalline CrI2NF at its relaxed geometry. The functional is PBE+U.

```
5
Lattice="-0.561 4.774 -2.690 -5.477 -0.393 0.445 0.126 1.768 3.111" Properties=species:S:1:pos:R:3 pbc="T T T"
F -2.956 3.075 0.432
Cr 0.000 0.000 0.000
I -2.738 -0.196 0.222
I -0.280 2.387 -1.345
N 0.063 0.884 1.555
```

Results
Its total energy is -3.694 eV per atom. For the volume, the calculation gives 21.7 Å³ per atom. Its offset from the most stable computed form is 0 meV per atom.

Question: Look up the volume of the first one.
Answer: 29.6 Å³ per atom